Here is SrGeSCl2 after structural relaxation from Alexandria via LeMat-Bulk. Energies are from PBE-GGA.

Output
energy above the lowest structure with this stoichiometry = 11.940 kcal/mol of atoms
space group = No. 123
D(E_F) = 0.09 states/eV/atom

abc: 5.3643 5.3643 5.8767
angles: 90.00 90.00 90.00
Sites, in units of the cell vectors:
Sr (0.0000, 0.0000, 0.0000)
Ge (0.5000, 0.5000, 0.5000)
S (0.0000, 0.0000, 0.5000)
Cl (0.0000, 0.5000, 0.0000)
Cl (0.5000, 0.0000, 0.0000)



Here is AcNbN2 after structural relaxation from Alexandria via LeMat-Bulk. Energies are from PBE-GGA.

Output
space group = No. 166
DFT total energy = -34.53 eV/f.u.
D(E_F) = 0.42 states/eV/atom

abc: 3.3829 3.3829 6.2115
angles: 74.20 74.20 60.00
Sites, in units of the cell vectors:
Nb (0.0000, 0.0000, 0.0000)
N (0.7308, 0.7308, 0.8076)
Ac (0.5000, 0.5000, 0.5000)
N (0.2692, 0.2692, 0.1924)



Here is AcDy8 after structural relaxation from Alexandria via LeMat-Bulk. Energies are from PBE-GGA.

Output
space group = No. 139
D(E_F) = 1.46 states/eV/atom
formation energy from the elements = 0.038 eV per atom

abc: 5.0665 8.0347 8.0347
angles: 84.29 71.62 71.62
Sites, in units of the cell vectors:
Dy (0.0000, 0.6631, 0.3369)
Dy (0.6631, 0.3369, 0.3369)
Dy (0.3369, 0.6631, 0.6631)
Dy (0.6706, 0.0000, 0.6587)
Dy (0.3294, 0.0000, 0.3413)
Ac (0.0000, 0.0000, 0.0000)
Dy (0.6706, 0.6587, 0.0000)
Dy (0.0000, 0.3369, 0.6631)
Dy (0.3294, 0.3413, 0.0000)



Here is CuTc2Os after structural relaxation from Alexandria via LeMat-Bulk. Energies are from PBE-GGA.

Output
energy above the lowest structure with this stoichiometry = 2.337 kcal/mol of atoms
space group = No. 139
D(E_F) = 1.35 states/eV/atom
formation energy from the elements = 0.258 eV per atom

abc: 4.7908 4.7908 4.7908
angles: 134.12 134.15 66.88
Sites, in units of the cell vectors:
Tc (0.0000, 0.0000, 0.0000)
Os (0.2500, 0.7500, 0.5000)
Tc (0.5000, 0.5000, 0.0000)
Cu (0.7500, 0.2500, 0.5000)



Here is Cr4Br3 after structural relaxation from Alexandria via LeMat-Bulk. Energies are from PBE-GGA.

Output
space group = No. 139
DFT total energy = -41.83 eV/f.u.
D(E_F) = 0.16 states/eV/atom

abc: 12.7332 12.7332 12.7332
angles: 164.36 164.36 22.19
Last column: magnetic moment on the atom in μB.
Sites, in units of the cell vectors:
Br (0.3244, 0.3244, 0.0000)  0.05
Cr (0.4264, 0.4264, 0.0000)  -3.29
Br (0.6756, 0.6756, 0.0000)  0.05
Cr (0.8847, 0.8847, 0.0000)  3.56
Cr (0.1153, 0.1153, 0.0000)  3.56
Cr (0.5736, 0.5736, 0.0000)  -3.29
Br (0.0000, 0.0000, 0.0000)  -0.03



Here is La2As2P after structural relaxation from Alexandria via LeMat-Bulk. Energies are from PBE-GGA.

Output
energy above the lowest structure with this stoichiometry = 0.000 kcal/mol of atoms
space group = No. 139
D(E_F) = 0.47 states/eV/atom
formation energy from the elements = -1.079 eV per atom

abc: 3.9019 3.9019 8.6164
angles: 76.91 76.91 90.00
Sites, in units of the cell vectors:
La (0.3985, 0.3985, 0.2030)
As (0.2500, 0.7500, 0.5000)
La (0.6015, 0.6015, 0.7970)
P (0.0000, 0.0000, 0.0000)
As (0.7500, 0.2500, 0.5000)



Here is MnW2Se after structural relaxation from Alexandria via LeMat-Bulk. Energies are from PBE-GGA.

Output
space group = No. 160
DFT total energy = -36.99 eV/f.u.
D(E_F) = 0.62 states/eV/atom

abc: 8.2432 8.2432 8.2432
angles: 21.08 21.08 21.08
Sites, in units of the cell vectors:
Se (0.7488, 0.7488, 0.7488)
W (0.0036, 0.0036, 0.0036)
W (0.2415, 0.2415, 0.2415)
Mn (0.5062, 0.5062, 0.5062)



Here is SrSi after structural relaxation from Alexandria via LeMat-Bulk. Energies are from PBE-GGA.

Output
space group = No. 74
DFT total energy = -7.71 eV/f.u.
D(E_F) = 0.39 states/eV/atom

abc: 4.1157 8.7085 7.1972
angles: 90.00 90.00 90.00
Sites, in units of the cell vectors:
Si (0.0000, 0.7500, 0.6550)
Si (0.5000, 0.2500, 0.1550)
Si (0.5000, 0.7500, 0.8450)
Sr (0.5000, 0.5000, 0.5000)
Sr (0.5000, 0.0000, 0.5000)
Si (0.0000, 0.2500, 0.3450)
Sr (0.0000, 0.0000, 0.0000)
Sr (0.0000, 0.5000, 0.0000)



Here is Cs5PmS4 after structural relaxation from Alexandria via LeMat-Bulk. Energies are from PBE-GGA.

Output
space group = No. 12
DFT total energy = -37.60 eV/f.u.

abc: 4.5844 9.1663 10.6883
angles: 106.54 102.38 90.00
Sites, in units of the cell vectors:
S (0.6447, 0.1016, 0.2894)
S (0.9989, 0.2083, 0.9978)
Cs (0.8401, 0.6464, 0.6802)
Cs (0.5000, 0.5000, 0.0000)
Cs (0.8330, 0.1335, 0.6661)
Cs (0.1670, 0.8665, 0.3339)
S (0.3553, 0.8984, 0.7106)
Cs (0.1599, 0.3536, 0.3198)
Pm (0.5000, 0.0000, 0.0000)
S (0.0011, 0.7917, 0.0022)



Here is BaMgCoH6 after structural relaxation from Alexandria via LeMat-Bulk. Energies are from PBE-GGA.

Output
space group = No. 149
DFT total energy = -33.52 eV/f.u.
D(E_F) = 0.25 states/eV/atom

abc: 4.7862 4.7862 4.9405
angles: 90.00 90.00 60.00
Sites, in units of the cell vectors:
Ba (0.0000, 0.0000, 0.0000)
H (0.4667, 0.4774, 0.2788)
H (0.0558, 0.4668, 0.2788)
H (0.4774, 0.4668, 0.7212)
H (0.4774, 0.0558, 0.2788)
H (0.4667, 0.0558, 0.7212)
Co (0.3333, 0.3333, 0.5000)
H (0.0558, 0.4774, 0.7212)
Mg (0.6666, 0.6667, 0.5000)



Here is ZrTa2Ru after structural relaxation from Alexandria via LeMat-Bulk. Energies are from PBE-GGA.

Output
space group = No. 123
D(E_F) = 0.93 states/eV/atom
formation energy from the elements = -0.016 eV per atom

abc: 4.8110 3.8933 3.8933
angles: 90.00 90.00 90.00
Sites, in units of the cell vectors:
Zr (0.5000, 0.5000, 0.0000)
Ru (0.5000, 0.0000, 0.5000)
Ta (0.0000, 0.5000, 0.5000)
Ta (0.0000, 0.0000, 0.0000)



Here is SbOF2 after structural relaxation from Alexandria via LeMat-Bulk. Energies are from PBE-GGA.

Output
energy above the lowest structure with this stoichiometry = 0.000 kcal/mol of atoms
space group = No. 5
D(E_F) = 0.18 states/eV/atom

abc: 3.8168 3.8797 5.3686
angles: 111.45 110.81 90.00
Sites, in units of the cell vectors:
F (0.8897, 0.8600, 0.7053)
Sb (0.4088, 0.0090, 0.0000)
O (0.5174, 0.5090, 0.0000)
F (0.1841, 0.1580, 0.2946)